[1]
Material: TcMoP2
Method: DFT, GGA-PBE
State: optimized geometry

Output
offset from the most stable computed form: 376 meV per atom
formation energy: -175 meV/atom

a b c (Å): 7.5260 2.9571 5.1621
angles (deg): 90.00 103.29 90.00
Atoms (fractional coordinates):
1 Tc 0.0000 0.0000 0.0000
2 Tc 0.5000 0.5000 0.0000
3 Mo 0.0000 0.5000 0.5000
4 Mo 0.5000 0.0000 0.5000
5 P 0.2487 0.5000 0.2390
6 P 0.2513 0.0000 0.7610
7 P 0.7487 0.0000 0.2390
8 P 0.7513 0.5000 0.7610

***

[2]
Material: GdPu2Fe
Method: DFT, GGA-PBE
State: optimized geometry

Output
offset from the most stable computed form: 186 meV per atom
formation energy: 304 meV/atom

a b c (Å): 4.5707 4.5707 16.0145
angles (deg): 90.00 90.00 120.00
Atoms (fractional coordinates):
1 Gd 0.0000 0.0000 0.0000
2 Gd 0.3333 0.6667 0.6667
3 Gd 0.6667 0.3333 0.3333
4 Pu 0.0000 0.0000 0.2209
5 Pu 0.0000 0.0000 0.7791
6 Pu 0.3333 0.6667 0.4457
7 Pu 0.3333 0.6667 0.8876
8 Pu 0.6667 0.3333 0.1124
9 Pu 0.6667 0.3333 0.5543
10 Fe 0.0000 0.0000 0.5000
11 Fe 0.3333 0.6667 0.1667
12 Fe 0.6667 0.3333 0.8333

***

[3]
Material: ZnTcPdPb2
Method: DFT, GGA-PBE
State: optimized geometry

Output
formation energy: 872 meV/atom

a b c (Å): 5.2924 5.2924 4.7488
angles (deg): 90.00 90.00 90.00
Atoms (fractional coordinates):
1 Zn 0.0000 0.0000 0.0000
2 Tc 0.5000 0.5000 0.0000
3 Pd 0.0000 0.0000 0.5000
4 Pb 0.0000 0.5000 0.5000
5 Pb 0.5000 0.0000 0.5000

***

[4]
Material: Tm8Sc2Pb
Method: DFT, GGA-PBE
State: optimized geometry

Output
offset from the most stable computed form: 28 meV per atom
formation energy: -38 meV/atom

a b c (Å): 9.7742 9.7742 6.2699
angles (deg): 94.43 94.43 32.16
Atoms (fractional coordinates):
1 Tm 0.0467 0.0467 0.2712
2 Tm 0.1555 0.1555 0.7932
3 Tm 0.3335 0.3335 0.8777
4 Tm 0.4185 0.4185 0.4075
5 Tm 0.5815 0.5815 0.5925
6 Tm 0.6665 0.6665 0.1223
7 Tm 0.8445 0.8445 0.2068
8 Tm 0.9533 0.9533 0.7288
9 Sc 0.2429 0.2429 0.3422
10 Sc 0.7571 0.7571 0.6578
11 Pb 0.5000 0.5000 0.0000

***

[5]
Material: ZnInCl3
Method: DFT, GGA-PBE
State: optimized geometry

Output
offset from the most stable computed form: 12 meV per atom
formation energy from raw total energies: -1.01 eV/atom

a b c (Å): 6.2586 6.8994 7.4323
angles (deg): 98.63 90.19 101.58
Atoms (fractional coordinates):
1 Zn 0.0000 0.0000 0.0000
2 Zn 0.2462 0.9255 0.3698
3 In 0.3182 0.5702 0.8029
4 In 0.7484 0.4191 0.3448
5 Cl 0.2763 0.6059 0.3847
6 Cl 0.3703 0.0201 0.0873
7 Cl 0.4083 0.1588 0.5961
8 Cl 0.8795 0.9263 0.2917
9 Cl 0.8944 0.7412 0.7758
10 Cl 0.9277 0.2965 0.9636

***

[6]
Material: Na2Sb3Au2
Method: DFT, GGA-PBE
State: optimized geometry

Output
offset from the most stable computed form: 0 meV per atom
formation energy from raw total energies: -0.23 eV/atom

a b c (Å): 11.1161 11.1161 7.1056
angles (deg): 90.00 90.00 154.72
Atoms (fractional coordinates):
1 Na 0.0310 0.9690 0.7500
2 Na 0.1581 0.8419 0.2500
3 Na 0.8419 0.1581 0.7500
4 Na 0.9690 0.0310 0.2500
5 Sb 0.2270 0.7730 0.7500
6 Sb 0.4319 0.5681 0.5456
7 Sb 0.4319 0.5681 0.9544
8 Sb 0.5681 0.4319 0.0456
9 Sb 0.5681 0.4319 0.4544
10 Sb 0.7730 0.2270 0.2500
11 Au 0.3067 0.6933 0.0500
12 Au 0.3067 0.6933 0.4500
13 Au 0.6933 0.3067 0.5500
14 Au 0.6933 0.3067 0.9500

***

[7]
Material: LaHo4Cd
Method: DFT, GGA-PBE
State: optimized geometry

Output
offset from the most stable computed form: 234 meV per atom
formation energy: 152 meV/atom

a b c (Å): 8.0390 8.0390 9.2044
angles (deg): 90.00 90.00 139.87
Atoms (fractional coordinates):
1 La 0.1267 0.8733 0.5000
2 La 0.8733 0.1267 0.0000
3 Ho 0.0964 0.9036 0.1352
4 Ho 0.2579 0.7421 0.8392
5 Ho 0.3320 0.6680 0.1839
6 Ho 0.4786 0.5214 0.8684
7 Ho 0.5214 0.4786 0.3684
8 Ho 0.6680 0.3320 0.6839
9 Ho 0.7421 0.2579 0.3392
10 Ho 0.9036 0.0964 0.6352
11 Cd 0.3365 0.6635 0.5292
12 Cd 0.6635 0.3365 0.0292

***

[8]
Material: Pm4SmErSe8
Method: DFT, GGA-PBE
State: optimized geometry

Output
formation energy from raw total energies: -1.73 eV/atom

a b c (Å): 8.5872 8.5872 8.5872
angles (deg): 60.02 60.02 60.02
Atoms (fractional coordinates):
1 Pm 0.0000 0.0000 0.0000
2 Pm 0.1291 0.6234 0.6234
3 Pm 0.6234 0.1291 0.6234
4 Pm 0.6234 0.6234 0.1291
5 Sm 0.6234 0.6234 0.6234
6 Er 0.2498 0.2498 0.2498
7 Se 0.3786 0.3786 0.3786
8 Se 0.3796 0.3796 0.8629
9 Se 0.3796 0.8629 0.3796
10 Se 0.3997 0.8658 0.8658
11 Se 0.8629 0.3796 0.3796
12 Se 0.8658 0.3997 0.8658
13 Se 0.8658 0.8658 0.3997
14 Se 0.8669 0.8669 0.8669

***

Number 1: density 7.601 g/cm³. Number 2: density 12.054 g/cm³. Number 3: density 8.542 g/cm³. Number 4: density 8.613 g/cm³. Number 5: density 3.064 g/cm³. Number 6: density 7.132 g/cm³. Number 7: density 7.892 g/cm³. Number 8: density 5.669 g/cm³.